{"formula": "BaSbPd3", "functional": "GGA-PBE", "state": "relaxed", "lattice": [[3.4260, 5.9661, 1.8361], [-6.3128, 0.4667, 3.2610], [5.5969, -4.2577, 1.1179]], "species": ["Sb", "Pd", "Sb", "Pd", "Ba", "Pd", "Pd", "Pd", "Pd", "Ba"], "frac_coords": [[0.0000, 0.5000, 0.5000], [0.8846, 0.6346, 0.2500], [0.5000, 0.5000, 0.0000], [0.2239, 0.0000, 0.7239], [0.7112, 0.9612, 0.7500], [0.1154, 0.3654, 0.7500], [0.2239, 0.5000, 0.2239], [0.7761, 0.5000, 0.7761], [0.7761, 0.0000, 0.2761], [0.2888, 0.0388, 0.2500]], "spacegroup": "Imma, No. 74", "vol_a3_per_atom": 24.49, "energy_ev_per_atom": -4.9573, "mass_density_g_cm3": 7.84}